1.
Below is a relaxed TaAgSb2 crystal, with properties calculated at the PBE-GGA level.

Values from the calculation:
Formation energy from raw total energies, eV/atom: 0.163
M_tot, μB/f.u.: 0.0

The structure in CIF format:
```
data_TaAgSb2
_chemical_formula_sum 'Ta2 Ag2 Sb4'
_symmetry_space_group_name_H-M 'C 1 m 1'
_symmetry_Int_Tables_number 8
_symmetry_space_group_name_Hall 'C -2y'
_cell_length_a 11.0059
_cell_length_b 3.7343
_cell_length_c 4.2593
_cell_angle_alpha 90.00
_cell_angle_beta 90.07
_cell_angle_gamma 90.00
loop_
_atom_site_label
_atom_site_type_symbol
_atom_site_fract_x
_atom_site_fract_y
_atom_site_fract_z
_atom_site_occupancy
Ta1 Ta 0.0000 0.0000 0.0000 1
Ag1 Ag 0.1747 0.0000 0.5008 1
Sb1 Sb 0.2108 0.5000 0.0008 1
Sb2 Sb 0.4275 0.0000 0.4997 1
```

---

2.
Below is a relaxed TaAgSb2 crystal, with properties calculated at the PBE-GGA level.

Values from the calculation:
Formation energy from raw total energies, eV/atom: 0.147
M_tot, μB/f.u.: 0.0

The structure in CIF format:
```
data_TaAgSb2
_chemical_formula_sum 'Ta3 Ag3 Sb6'
_symmetry_space_group_name_H-M 'R -3 m'
_symmetry_Int_Tables_number 166
_symmetry_space_group_name_Hall '-R 3 2"'
_cell_length_a 3.4517
_cell_length_b 3.4517
_cell_length_c 26.1959
_cell_angle_alpha 90.00
_cell_angle_beta 90.00
_cell_angle_gamma 120.00
loop_
_atom_site_label
_atom_site_type_symbol
_atom_site_fract_x
_atom_site_fract_y
_atom_site_fract_z
_atom_site_occupancy
Ta1 Ta 0.0000 0.0000 0.0000 1
Ag1 Ag 0.0000 0.0000 0.5000 1
Sb1 Sb 0.0000 0.0000 0.2560 1
```

---

3.
Below is a relaxed TaAgSb2 crystal, with properties calculated at the PBE-GGA level.

Values from the calculation:
Formation energy from raw total energies, eV/atom: 0.204
M_tot, μB/f.u.: 0.0

The structure in CIF format:
```
data_TaAgSb2
_chemical_formula_sum 'Ta1 Ag1 Sb2'
_symmetry_space_group_name_H-M 'P 4 m m'
_symmetry_Int_Tables_number 99
_symmetry_space_group_name_Hall 'P 4 -2'
_cell_length_a 3.8403
_cell_length_b 3.8403
_cell_length_c 5.9047
_cell_angle_alpha 90.00
_cell_angle_beta 90.00
_cell_angle_gamma 90.00
loop_
_atom_site_label
_atom_site_type_symbol
_atom_site_fract_x
_atom_site_fract_y
_atom_site_fract_z
_atom_site_occupancy
Ta1 Ta 0.0000 0.0000 0.0000 1
Ag1 Ag 0.5000 0.5000 0.3015 1
Sb1 Sb 0.0000 0.0000 0.4697 1
Sb2 Sb 0.5000 0.5000 0.8296 1
```

---

4.
Below is a relaxed TaAgSb2 crystal, with properties calculated at the PBE-GGA level.

Values from the calculation:
Formation energy from raw total energies, eV/atom: 0.212
M_tot, μB/f.u.: 0.0

The structure in CIF format:
```
data_TaAgSb2
_chemical_formula_sum 'Ta2 Ag2 Sb4'
_symmetry_space_group_name_H-M 'C m m 2'
_symmetry_Int_Tables_number 35
_symmetry_space_group_name_Hall 'C 2 -2'
_cell_length_a 3.9084
_cell_length_b 4.6435
_cell_length_c 10.4337
_cell_angle_alpha 90.00
_cell_angle_beta 90.00
_cell_angle_gamma 90.00
loop_
_atom_site_label
_atom_site_type_symbol
_atom_site_fract_x
_atom_site_fract_y
_atom_site_fract_z
_atom_site_occupancy
Ta1 Ta 0.0000 0.0000 0.0000 1
Ag1 Ag 0.0000 0.5000 0.7996 1
Sb1 Sb 0.0000 0.0000 0.5765 1
Sb2 Sb 0.0000 0.5000 0.2100 1
```

---

no.,energy (Ry per atom),DOS at the Fermi energy (states/eV per cell)
1,-0.4097,5.67
2,-0.4108,7.72
3,-0.4067,2.17
4,-0.4061,4.80